{
  "formula": "MnInI2N",
  "functional": "GGA-PBE",
  "state": "relaxed",
  "formation_energy_uncorrected_ev_per_atom": 0.841,
  "sg": "P4/mmm, No. 123",
  "energy_ev_per_atom": -3.8262,
  "vol_a3_per_cell": 145,
  "polymorph_energy_kj_per_mol_fu": 317,
  "dos_ef_per_ev_cell": 5.18,
  "lattice_angstrom": [[5.971, 0.000, 0.000], [0.000, 5.971, 0.000], [0.000, 0.000, 4.063]],
  "species": ["Mn", "In", "I", "I", "N"],
  "fractional_positions": [[0.000, 0.000, 0.000], [0.500, 0.500, 0.500], [0.000, 0.500, 0.500], [0.500, 0.000, 0.500], [0.500, 0.500, 0.000]]
}